(1)
Dy5Bi3: relaxed, GGA-PBE.

DFT total energy (eV for the cell shown): -162.80
Energy above the lowest structure with this stoichiometry (meV/atom): 9

CIF file:
```
data_Dy5Bi3
_symmetry_space_group_name_H-M 'P n m a'
_symmetry_Int_Tables_number 62
_cell_length_a 12.0081
_cell_length_b 9.4961
_cell_length_c 8.2562
_cell_angle_alpha 90.00
_cell_angle_beta 90.00
_cell_angle_gamma 90.00
loop_
_symmetry_equiv_pos_as_xyz
'x,y,z'
'-x,-y,-z'
'-x+1/2,-y,z+1/2'
'x+1/2,y,-z+1/2'
'x+1/2,-y+1/2,-z+1/2'
'-x+1/2,y+1/2,z+1/2'
'-x,y+1/2,-z'
'x,-y+1/2,z'
loop_
_atom_site_label
_atom_site_fract_x
_atom_site_fract_y
_atom_site_fract_z
Dy1 0.0045 0.2500 0.0208
Dy2 0.0644 0.0611 0.6899
Dy3 0.2105 0.7500 0.3411
Dy4 0.2282 0.2500 0.3277
Bi1 0.0272 0.7500 0.5998
Bi2 0.1748 0.5079 0.0641
```



(2)
K3Zn4: relaxed, GGA-PBE.

DFT total energy (eV for the cell shown): -13.27
Energy above the lowest structure with this stoichiometry (meV/atom): 79

CIF file:
```
data_K3Zn4
_symmetry_space_group_name_H-M 'P 63/m'
_symmetry_Int_Tables_number 176
_symmetry_space_group_name_Hall '-P 6c'
_cell_length_a 9.5842
_cell_length_b 9.5842
_cell_length_c 5.4270
_cell_angle_alpha 90.00
_cell_angle_beta 90.00
_cell_angle_gamma 120.00
loop_
_atom_site_label
_atom_site_fract_x
_atom_site_fract_y
_atom_site_fract_z
K1 0.0702 0.2959 0.2500
Zn1 0.1560 0.5335 0.7500
Zn2 0.3333 0.6667 0.2500
```



(3)
ThAsPb: relaxed, GGA-PBE.

DFT total energy (eV for the cell shown): -60.32

CIF file:
```
data_ThAsPb
_symmetry_space_group_name_H-M 'F -4 3 m'
_symmetry_Int_Tables_number 216
_symmetry_space_group_name_Hall 'F -4 2 3'
_cell_length_a 7.2616
_cell_length_b 7.2616
_cell_length_c 7.2616
_cell_angle_alpha 90.00
_cell_angle_beta 90.00
_cell_angle_gamma 90.00
loop_
_atom_site_label
_atom_site_fract_x
_atom_site_fract_y
_atom_site_fract_z
Th1 0.0000 0.0000 0.0000
As1 0.0000 0.0000 0.5000
Pb1 0.2500 0.2500 0.7500
```



(4)
SiNiW: relaxed, GGA-PBE.

DFT total energy (eV for the cell shown): -100.23

CIF file:
```
data_SiNiW
_symmetry_space_group_name_H-M 'P n m a'
_symmetry_Int_Tables_number 62
_cell_length_a 6.0387
_cell_length_b 3.6333
_cell_length_c 6.9975
_cell_angle_alpha 90.00
_cell_angle_beta 90.00
_cell_angle_gamma 90.00
loop_
_symmetry_equiv_pos_as_xyz
'x,y,z'
'-x,-y,-z'
'-x+1/2,-y,z+1/2'
'x+1/2,y,-z+1/2'
'x+1/2,-y+1/2,-z+1/2'
'-x+1/2,y+1/2,z+1/2'
'-x,y+1/2,-z'
'x,-y+1/2,z'
loop_
_atom_site_label
_atom_site_fract_x
_atom_site_fract_y
_atom_site_fract_z
Si1 0.2176 0.2500 0.1202
Ni1 0.1563 0.7500 0.9303
W1 0.0188 0.7500 0.3315
```